Entry 1:
! BaAuNO PBE-GGA optimized geometry; values from VASP
! Energy above the lowest structure with this stoichiometry: 0.242 eV/atom
&SYSTEM
  ibrav = 0, nat = 16, ntyp = 4
/
ATOMIC_SPECIES
Ba 137.33 Ba.upf
O 16.00 O.upf
Au 196.97 Au.upf
N 14.01 N.upf
CELL_PARAMETERS angstrom
-4.1684 -4.1990 1.1944
-1.3178 -0.6240 -6.7929
5.3114 -5.4240 -0.5321
ATOMIC_POSITIONS crystal
Ba 0.9837 0.2378 0.4141
Ba 0.4837 0.2378 0.0859
Ba 0.9837 0.7622 0.9141
Ba 0.4837 0.7622 0.5859
O 0.3371 0.4809 0.8126
O 0.8371 0.4809 0.6874
O 0.3371 0.5191 0.3126
O 0.8371 0.5191 0.1874
Au 0.9542 0.2913 0.8597
Au 0.9542 0.7087 0.3597
Au 0.4542 0.7087 0.1403
Au 0.4542 0.2913 0.6403
N 0.0226 0.8686 0.5537
N 0.5226 0.1314 0.4463
N 0.0226 0.1314 0.0537
N 0.5226 0.8686 0.9463

Entry 2:
! Ba2PdAuN2 PBE-GGA optimized geometry; values from VASP
! Total energy: -4.76 eV per atom
&SYSTEM
  ibrav = 0, nat = 6, ntyp = 4
/
ATOMIC_SPECIES
Pd 106.42 Pd.upf
N 14.01 N.upf
Ba 137.33 Ba.upf
Au 196.97 Au.upf
CELL_PARAMETERS angstrom
4.0016 0.0000 0.0000
-2.0008 3.4655 0.0000
0.0000 0.0000 8.6874
ATOMIC_POSITIONS crystal
Pd 0.6667 0.3333 0.5000
N 0.0000 0.0000 0.5000
N 0.6667 0.3333 0.0000
Ba 0.3333 0.6667 0.2632
Ba 0.3333 0.6667 0.7368
Au 0.0000 0.0000 0.0000

Entry 3:
! Ba2NaAu2 PBE-GGA optimized geometry; values from VASP
! Total energy: -2.94 eV per atom
&SYSTEM
  ibrav = 0, nat = 10, ntyp = 3
/
ATOMIC_SPECIES
Ba 137.33 Ba.upf
Au 196.97 Au.upf
Na 22.99 Na.upf
CELL_PARAMETERS angstrom
8.7663 0.0000 0.0000
0.0000 8.7663 0.0000
0.0000 0.0000 4.4839
ATOMIC_POSITIONS crystal
Ba 0.8320 0.3320 0.5000
Ba 0.3320 0.1680 0.5000
Ba 0.1680 0.6680 0.5000
Ba 0.6680 0.8320 0.5000
Au 0.8743 0.6257 0.0000
Au 0.3743 0.8743 0.0000
Au 0.6257 0.1257 0.0000
Au 0.1257 0.3743 0.0000
Na 0.5000 0.5000 0.0000
Na 0.0000 0.0000 0.0000

Entry 4:
! BaNa2Au2 PBE-GGA optimized geometry; values from VASP
! Total energy: -2.70 eV per atom
&SYSTEM
  ibrav = 0, nat = 5, ntyp = 3
/
ATOMIC_SPECIES
Au 196.97 Au.upf
Na 22.99 Na.upf
Ba 137.33 Ba.upf
CELL_PARAMETERS angstrom
-2.2633 2.2633 6.9252
2.2633 -2.2633 6.9252
2.2633 2.2633 -6.9252
ATOMIC_POSITIONS crystal
Au 0.6024 0.6024 0.0000
Au 0.3976 0.3976 0.0000
Na 0.7500 0.2500 0.5000
Na 0.2500 0.7500 0.5000
Ba 0.0000 0.0000 0.0000

Entry 5:
! BaNaSnAuS4 PBE-GGA optimized geometry; values from VASP
! Total energy: -4.28 eV per atom
&SYSTEM
  ibrav = 0, nat = 8, ntyp = 5
/
ATOMIC_SPECIES
Ba 137.33 Ba.upf
S 32.06 S.upf
Au 196.97 Au.upf
Sn 118.71 Sn.upf
Na 22.99 Na.upf
CELL_PARAMETERS angstrom
5.0413 -4.1039 0.0000
5.0413 4.1039 0.0000
-5.0340 0.0000 5.0507
ATOMIC_POSITIONS crystal
Ba 0.0000 0.0000 0.5000
S 0.8571 0.5177 0.8945
S 0.1236 0.4627 0.4808
S 0.4823 0.1429 0.1055
S 0.5373 0.8764 0.5192
Au 0.7488 0.2512 0.0000
Sn 0.5000 0.5000 0.5000
Na 0.2507 0.7493 0.0000

Entry 6:
! BaNaZnAu2 PBE-GGA optimized geometry; values from VASP
! Total energy: -2.67 eV per atom
&SYSTEM
  ibrav = 0, nat = 5, ntyp = 4
/
ATOMIC_SPECIES
Na 22.99 Na.upf
Au 196.97 Au.upf
Zn 65.41 Zn.upf
Ba 137.33 Ba.upf
CELL_PARAMETERS angstrom
-2.2655 2.2655 6.2420
2.2655 -2.2655 6.2420
2.2655 2.2655 -6.2420
ATOMIC_POSITIONS crystal
Na 0.7500 0.2500 0.5000
Au 0.3856 0.3856 0.0000
Au 0.6144 0.6144 0.0000
Zn 0.2500 0.7500 0.5000
Ba 0.0000 0.0000 0.0000

Entry 7:
! BaNaZrAu PBE-GGA optimized geometry; values from VASP
! Energy above the lowest structure with this stoichiometry: 0.011 eV/atom
! Magnetic moment: 1.97 μB/f.u.
&SYSTEM
  ibrav = 0, nat = 4, ntyp = 4
/
ATOMIC_SPECIES
Au 196.97 Au.upf
Zr 91.22 Zr.upf
Na 22.99 Na.upf
Ba 137.33 Ba.upf
CELL_PARAMETERS angstrom
2.3948 -2.8862 3.8926
-2.7104 -3.9643 2.4810
1.3374 -5.1601 -0.8959
ATOMIC_POSITIONS crystal
Au 0.7500 0.7500 0.7500
Zr 0.0000 0.0000 0.0000
Na 0.2500 0.2500 0.2500
Ba 0.5000 0.5000 0.5000

Entry 8:
! BaNaZrAu PBE-GGA optimized geometry; values from VASP
! Energy above the lowest structure with this stoichiometry: 0.000 eV/atom
! Magnetic moment: 0.00 μB/f.u.
&SYSTEM
  ibrav = 0, nat = 4, ntyp = 4
/
ATOMIC_SPECIES
Zr 91.22 Zr.upf
Au 196.97 Au.upf
Na 22.99 Na.upf
Ba 137.33 Ba.upf
CELL_PARAMETERS angstrom
-4.3563 0.4442 2.8237
-4.5182 1.1220 -2.3399
-3.7195 -3.6310 -0.3600
ATOMIC_POSITIONS crystal
Zr 0.0000 0.0000 0.0000
Au 0.7500 0.7500 0.7500
Na 0.5000 0.5000 0.5000
Ba 0.2500 0.2500 0.2500

Entry 9:
! BaNaZrAu PBE-GGA optimized geometry; values from VASP
! Energy above the lowest structure with this stoichiometry: 0.249 eV/atom
! Magnetic moment: 0.58 μB/f.u.
&SYSTEM
  ibrav = 0, nat = 4, ntyp = 4
/
ATOMIC_SPECIES
Au 196.97 Au.upf
Zr 91.22 Zr.upf
Ba 137.33 Ba.upf
Na 22.99 Na.upf
CELL_PARAMETERS angstrom
0.0000 3.8022 3.8022
3.8022 0.0000 3.8022
3.8022 3.8022 0.0000
ATOMIC_POSITIONS crystal
Au 0.7500 0.7500 0.7500
Zr 0.2500 0.2500 0.2500
Ba 0.0000 0.0000 0.0000
Na 0.5000 0.5000 0.5000

Entry 10:
! BaNbAu PBE-GGA optimized geometry; values from VASP
! Total energy: -4.20 eV per atom
! Magnetic moment: 0.03 μB/f.u.
&SYSTEM
  ibrav = 0, nat = 3, ntyp = 3
/
ATOMIC_SPECIES
Ba 137.33 Ba.upf
Nb 92.91 Nb.upf
Au 196.97 Au.upf
CELL_PARAMETERS angstrom
4.1313 -1.6900 -1.9469
2.7697 -3.1278 2.5020
0.3027 -4.6511 -1.4105
ATOMIC_POSITIONS crystal
Ba 0.7500 0.7500 0.7500
Nb 0.0000 0.0000 0.0000
Au 0.2500 0.2500 0.2500

Entry 11:
! BaNbPdAu PBE-GGA optimized geometry; values from VASP
! Energy above the lowest structure with this stoichiometry: 0.000 eV/atom
! Magnetic moment: 2.75 μB/f.u.
&SYSTEM
  ibrav = 0, nat = 4, ntyp = 4
/
ATOMIC_SPECIES
Ba 137.33 Ba.upf
Pd 106.42 Pd.upf
Au 196.97 Au.upf
Nb 92.91 Nb.upf
CELL_PARAMETERS angstrom
3.3996 -1.6959 3.4529
2.2358 3.2996 3.2357
-1.2216 -0.0678 4.9859
ATOMIC_POSITIONS crystal
Ba 0.0000 0.0000 0.0000
Pd 0.2500 0.2500 0.2500
Au 0.7500 0.7500 0.7500
Nb 0.5000 0.5000 0.5000

Entry 12:
! BaNbPdAu PBE-GGA optimized geometry; values from VASP
! Energy above the lowest structure with this stoichiometry: 0.088 eV/atom
! Magnetic moment: 0.02 μB/f.u.
&SYSTEM
  ibrav = 0, nat = 4, ntyp = 4
/
ATOMIC_SPECIES
Nb 92.91 Nb.upf
Au 196.97 Au.upf
Ba 137.33 Ba.upf
Pd 106.42 Pd.upf
CELL_PARAMETERS angstrom
0.0000 3.4725 3.4725
3.4725 0.0000 3.4725
3.4725 3.4725 0.0000
ATOMIC_POSITIONS crystal
Nb 0.5000 0.5000 0.5000
Au 0.7500 0.7500 0.7500
Ba 0.2500 0.2500 0.2500
Pd 0.0000 0.0000 0.0000